Zr6Co5Tc PBE optimized geometry; uncorrected energy = -8.405 eV per atom; ΔH_f (0 K) = -7.06 kcal/mol of atoms; Fermi-level density of states = 9.615 states/eV/f.u.
1.0
4.3683 0.0174 -1.2769
-0.8815 5.6435 -2.9388
-0.0839 0.4206 7.8533
Co Zr Tc
5 6 1
Cartesian
0.6682 4.9940 2.3700
2.7348 1.0875 1.2677
-0.4407 2.8217 -1.4694
1.1010 2.1572 3.8124
2.3020 3.9243 -0.1748
3.0674 3.5731 2.4473
-0.1032 5.3174 -0.2724
0.3355 2.5084 1.1903
1.5252 4.2277 -2.8353
3.5061 0.7641 3.9100
1.8777 1.8538 6.4730
0.0000 0.0000 0.0000